## Y3Er2Tm (PBE)

Data for a geometry-optimized Y3Er2Tm structure.

Values from the calculation:
Formation energy: 2.7 kJ per mole of atoms

abc: 9.359 9.359 6.122
angles: 90.03 90.03 44.41
Fractional coordinates of all 12 atoms:
Y1 0.125 0.875 0.750
Y2 0.208 0.458 0.917
Y3 0.458 0.208 0.417
Y4 0.542 0.792 0.583
Y5 0.792 0.542 0.083
Y6 0.875 0.125 0.250
Er1 0.041 0.292 0.583
Er2 0.292 0.041 0.083
Er3 0.708 0.959 0.917
Er4 0.959 0.708 0.417
Tm1 0.375 0.625 0.250
Tm2 0.625 0.375 0.750

## YEr6Tm (PBE)

Data for a geometry-optimized YEr6Tm structure.

Values from the calculation:
Formation energy: 2.5 kJ per mole of atoms
Distance to the lowest polymorph of the same formula: 0.0000 eV per atom

abc: 6.079 6.082 7.027
angles: 73.23 89.99 80.34
Fractional coordinates of all 8 atoms:
Y1 0.000 0.000 0.000
Er1 0.250 0.498 0.376
Er2 0.252 0.500 0.875
Er3 0.500 0.001 0.749
Er4 0.500 0.999 0.251
Er5 0.748 0.500 0.125
Er6 0.750 0.502 0.624
Tm1 0.000 0.000 0.500

## Y5Er5Tm2 (PBE)

Data for a geometry-optimized Y5Er5Tm2 structure.

Values from the calculation:
Formation energy: 18.4 kJ per mole of atoms
Distance to the lowest polymorph of the same formula: 0.1642 eV per atom

abc: 5.570 5.570 14.616
angles: 101.03 101.03 60.30
Fractional coordinates of all 12 atoms:
Y1 0.000 0.000 0.000
Y2 0.191 0.191 0.577
Y3 0.273 0.273 0.826
Y4 0.727 0.727 0.174
Y5 0.809 0.809 0.423
Er1 0.106 0.106 0.309
Er2 0.354 0.354 0.060
Er3 0.500 0.500 0.500
Er4 0.646 0.646 0.940
Er5 0.894 0.894 0.691
Tm1 0.433 0.433 0.287
Tm2 0.567 0.567 0.713

## YEr5Tm3 (PBE)

Data for a geometry-optimized YEr5Tm3 structure.

Values from the calculation:
Formation energy: 42.5 kJ per mole of atoms
Distance to the lowest polymorph of the same formula: 0.2014 eV per atom

abc: 9.214 9.214 12.027
angles: 125.82 125.82 50.55
Fractional coordinates of all 18 atoms:
Y1 0.235 0.235 0.128
Y2 0.765 0.765 0.872
Er1 0.122 0.122 0.566
Er2 0.143 0.728 0.221
Er3 0.272 0.857 0.779
Er4 0.298 0.298 0.927
Er5 0.322 0.678 0.000
Er6 0.678 0.322 0.000
Er7 0.702 0.702 0.073
Er8 0.728 0.143 0.221
Er9 0.857 0.272 0.779
Er10 0.878 0.878 0.434
Tm1 0.000 0.000 0.000
Tm2 0.169 0.169 0.336
Tm3 0.377 0.377 0.681
Tm4 0.500 0.500 0.500
Tm5 0.623 0.623 0.319
Tm6 0.831 0.831 0.664

## Y4Er5Tm (PBE)

Data for a geometry-optimized Y4Er5Tm structure.

Values from the calculation:
Formation energy: 5.4 kJ per mole of atoms
Distance to the lowest polymorph of the same formula: 0.0000 eV per atom

abc: 3.540 6.725 13.827
angles: 82.71 89.96 75.10
Fractional coordinates of all 10 atoms:
Y1 0.119 0.298 0.307
Y2 0.183 0.171 0.711
Y3 0.817 0.829 0.289
Y4 0.881 0.702 0.693
Er1 0.184 0.126 0.083
Er2 0.462 0.582 0.114
Er3 0.500 0.500 0.500
Er4 0.538 0.418 0.886
Er5 0.816 0.874 0.917
Tm1 0.000 0.000 0.500

## YErTm6 (PBE)

Data for a geometry-optimized YErTm6 structure.

Values from the calculation:
Formation energy: 21.6 kJ per mole of atoms
Distance to the lowest polymorph of the same formula: 0.0097 eV per atom

abc: 6.444 11.581 6.670
angles: 90.00 90.52 90.00
Fractional coordinates of all 16 atoms:
Y1 0.000 0.000 0.000
Y2 0.500 0.500 0.000
Er1 0.000 0.000 0.500
Er2 0.500 0.500 0.500
Tm1 0.006 0.500 0.749
Tm2 0.189 0.236 0.749
Tm3 0.189 0.764 0.749
Tm4 0.311 0.264 0.251
Tm5 0.311 0.736 0.251
Tm6 0.494 0.000 0.251
Tm7 0.506 0.000 0.749
Tm8 0.689 0.264 0.749
Tm9 0.689 0.736 0.749
Tm10 0.811 0.236 0.251
Tm11 0.811 0.764 0.251
Tm12 0.994 0.500 0.251

## Y3Er8Tm4 (PBE)

Data for a geometry-optimized Y3Er8Tm4 structure.

Values from the calculation:
Formation energy: 40.4 kJ per mole of atoms

abc: 9.188 9.188 6.658
angles: 111.05 111.05 88.12
Fractional coordinates of all 15 atoms:
Y1 0.000 0.000 0.000
Y2 0.000 0.500 0.000
Y3 0.500 0.000 0.000
Er1 0.254 0.746 0.000
Er2 0.266 0.266 0.517
Er3 0.271 0.271 0.042
Er4 0.361 0.639 0.500
Er5 0.639 0.361 0.500
Er6 0.729 0.729 0.958
Er7 0.734 0.734 0.483
Er8 0.746 0.254 0.000
Tm1 0.000 0.000 0.500
Tm2 0.000 0.500 0.500
Tm3 0.500 0.000 0.500
Tm4 0.500 0.500 0.000

## Y12Er2Tm (PBE)

Data for a geometry-optimized Y12Er2Tm structure.

Values from the calculation:
Formation energy: 34.0 kJ per mole of atoms

abc: 6.409 6.409 25.063
angles: 90.00 90.00 90.00
Fractional coordinates of all 30 atoms:
Y1 0.066 0.566 0.115
Y2 0.066 0.934 0.885
Y3 0.081 0.581 0.439
Y4 0.081 0.919 0.561
Y5 0.250 0.250 0.215
Y6 0.250 0.250 0.338
Y7 0.250 0.250 0.662
Y8 0.250 0.250 0.785
Y9 0.419 0.581 0.561
Y10 0.419 0.919 0.439
Y11 0.434 0.566 0.885
Y12 0.434 0.934 0.115
Y13 0.566 0.066 0.885
Y14 0.566 0.434 0.115
Y15 0.581 0.081 0.561
Y16 0.581 0.419 0.439
Y17 0.750 0.750 0.215
Y18 0.750 0.750 0.338
Y19 0.750 0.750 0.662
Y20 0.750 0.750 0.785
Y21 0.919 0.081 0.439
Y22 0.919 0.419 0.561
Y23 0.934 0.066 0.115
Y24 0.934 0.434 0.885
Er1 0.250 0.750 0.274
Er2 0.250 0.750 0.726
Er3 0.750 0.250 0.274
Er4 0.750 0.250 0.726
Tm1 0.250 0.750 0.000
Tm2 0.750 0.250 0.000